Entry 1:
DFT (PBEsol) results for MnCr2Fe after structural relaxation.

Cell: 3.9438 3.9438 3.9438 Å, 60.00 60.00 60.00°
With the nearest neighbours (Å) after each atom.
Positions (direct):
Cr 0.0000 0.0000 0.0000  4 Mn 2.42, 4 Cr 2.42
Cr 0.7500 0.7500 0.7500  4 Fe 2.42, 4 Cr 2.42
Mn 0.2500 0.2500 0.2500  4 Cr 2.42, 4 Fe 2.42
Fe 0.5000 0.5000 0.5000  4 Cr 2.42, 4 Mn 2.42

Output
* N(E_F): 1.009 states/eV/atom
* energy above the most stable polymorph in this dataset: 16 meV per atom

---

Entry 2:
DFT (PBEsol) results for Mn2CrFe after structural relaxation.

Cell: 2.8732 3.8412 4.5460 Å, 114.99 108.42 90.00°
With the nearest neighbours (Å) after each atom.
Positions (direct):
Cr 0.4972 0.4972 0.9944  6 Mn 2.37-2.40, 2 Fe 2.40
Mn 0.0027 0.0027 0.0053  4 Cr 2.40, 2 Mn 2.41, 2 Fe 2.45
Mn 0.7537 0.2537 0.5075  2 Cr 2.37, 4 Fe 2.40, 2 Mn 2.41
Fe 0.2464 0.7464 0.4928  6 Mn 2.40-2.45, 2 Cr 2.40

Output
* N(E_F): 1.250 states/eV/atom
* raw total energy: -9.567 eV/atom

---

Entry 3:
DFT (PBEsol) results for MnCr2Fe after structural relaxation.

Cell: 3.5453 3.5453 4.2362 Å, 114.74 114.74 90.00°
With the nearest neighbours (Å) after each atom.
Positions (direct):
Cr 0.7500 0.2500 0.5000  4 Mn 2.46, 4 Fe 2.46, 4 Cr 2.51
Cr 0.2500 0.7500 0.5000  4 Mn 2.46, 4 Fe 2.46, 4 Cr 2.51
Fe 0.5000 0.5000 0.0000  8 Cr 2.46, 4 Mn 2.51
Mn 0.0000 0.0000 0.0000  8 Cr 2.46, 4 Fe 2.51

Output
* N(E_F): 1.363 states/eV/atom
* energy above the most stable polymorph in this dataset: 86 meV per atom

---

Entry 4:
DFT (PBEsol) results for Mn2CrFe after structural relaxation.

Cell: 3.4771 3.4771 4.2548 Å, 114.12 114.12 90.00°
With the nearest neighbours (Å) after each atom.
Positions (direct):
Cr 0.5000 0.5000 0.0000  8 Mn 2.46, 4 Fe 2.46
Mn 0.0000 0.0000 0.0000  4 Mn 2.46, 4 Fe 2.46, 4 Cr 2.46
Mn 0.7500 0.2500 0.5000  4 Cr 2.46, 4 Mn 2.46, 4 Fe 2.46
Fe 0.2500 0.7500 0.5000  4 Cr 2.46, 8 Mn 2.46

Output
* N(E_F): 1.276 states/eV/atom
* raw total energy: -9.581 eV/atom

---

Entry 5:
DFT (PBEsol) results for Mn2CrFe after structural relaxation.

Cell: 2.8713 3.8387 3.8833 Å, 90.00 90.00 90.00°
With the nearest neighbours (Å) after each atom.
Positions (direct):
Cr 0.5000 0.5000 0.0000  4 Mn 2.40, 4 Fe 2.41
Mn 0.0000 0.0000 0.0000  4 Cr 2.40, 4 Mn 2.41
Mn 0.5000 0.0000 0.5000  4 Fe 2.40, 4 Mn 2.41
Fe 0.0000 0.5000 0.5000  4 Mn 2.40, 4 Cr 2.41

Output
* N(E_F): 1.029 states/eV/atom
* raw total energy: -9.571 eV/atom

---

Entry 6:
DFT (PBEsol) results for MnCr2Fe after structural relaxation.

Cell: 2.4002 3.9248 4.6685 Å, 90.00 100.89 90.00°
With the nearest neighbours (Å) after each atom.
Positions (direct):
Cr 0.7556 0.0000 0.7484  4 Cr 2.40-2.42, 2 Mn 2.41, 2 Fe 2.42
Cr 0.2444 0.0000 0.2516  4 Cr 2.40-2.42, 2 Mn 2.41, 2 Fe 2.42
Mn 0.0000 0.5000 0.5000  2 Mn 2.40, 4 Cr 2.41, 2 Fe 2.41
Fe 0.5000 0.5000 0.0000  2 Fe 2.40, 2 Mn 2.41, 4 Cr 2.42

Output
* N(E_F): 1.180 states/eV/atom
* energy above the most stable polymorph in this dataset: 19 meV per atom